Entry 1:
An optimized crystal structure of PuPb2Au, computed with PBE-GGA.

Calculated volume, Å³/cell: 104.1
SG: No. 225
DFT total energy, eV for the cell shown: -25.16
Total magnetization, Bohr magnetons per cell: 5.72
ΔE to the lowest computed polymorph, meV/atom: 148

a b c (Å): 5.280 5.280 5.280
angles (deg): 60.00 60.00 60.00
Element x y z (fractional)
Pu 0.000 0.000 0.000
Pb 0.250 0.250 0.250
Pb 0.750 0.750 0.750
Au 0.500 0.500 0.500

Entry 2:
An optimized crystal structure of PuPbAu, computed with PBE-GGA.

Calculated volume, Å³/cell: 155.9
SG: No. 63
DFT total energy, eV for the cell shown: -44.24
Total magnetization, Bohr magnetons per cell: 11.75

a b c (Å): 9.366 9.366 4.795
angles (deg): 90.00 90.00 158.24
Element x y z (fractional)
Pu 0.099 0.901 0.750
Pu 0.901 0.099 0.250
Pb 0.291 0.709 0.750
Pb 0.709 0.291 0.250
Au 0.458 0.542 0.750
Au 0.542 0.458 0.250

Entry 3:
An optimized crystal structure of Pu2PbAu, computed with PBE-GGA.

Calculated volume, Å³/cell: 105.0
SG: No. 123
DFT total energy, eV for the cell shown: -36.75
Total magnetization, Bohr magnetons per cell: 11.88

a b c (Å): 3.500 3.500 8.573
angles (deg): 90.00 90.00 90.00
Element x y z (fractional)
Pu 0.000 0.000 0.229
Pu 0.000 0.000 0.771
Pb 0.500 0.500 0.500
Au 0.500 0.500 0.000

Entry 4:
An optimized crystal structure of Pu2PbAu, computed with PBE-GGA.

Calculated volume, Å³/cell: 106.5
SG: No. 160
DFT total energy, eV for the cell shown: -35.05
Total magnetization, Bohr magnetons per cell: 11.89

a b c (Å): 10.788 10.788 10.788
angles (deg): 18.16 18.16 18.16
Element x y z (fractional)
Pu 0.000 0.000 0.000
Pu 0.095 0.095 0.095
Pb 0.244 0.244 0.244
Au 0.834 0.834 0.834

Number 1: calculated formation energy -0.03 eV/atom. Number 2: calculated formation energy -0.27 eV/atom. Number 3: calculated formation energy -0.27 eV/atom. Number 4: calculated formation energy 0.15 eV/atom.